(1)
DFT (PBE) results for a geometry-optimized AgMoRh2 structure.

Results
spin magnetization = 0.00 μB per cell
offset from the most stable computed form = 239 meV per atom
ΔH_f (0 K) = 210 meV/atom
crystal system = cubic

Cell: 6.270 6.270 6.270 Å, 90.00 90.00 90.00°
Space group Fm-3m (No. 225)
Symmetry-distinct sites (fractional):
Ag: 0.000 0.000 0.000 [4 per cell]
Mo: 0.000 0.000 0.500 [4 per cell]
Rh: 0.250 0.250 0.250 [8 per cell]



(2)
DFT (PBE) results for a geometry-optimized Ti2BeTe structure.

Results
spin magnetization = 0.00 μB per cell
uncorrected formation energy = 0.10 eV per atom
offset from the most stable computed form = 0 meV per atom
crystal system = cubic

Cell: 6.439 6.439 6.439 Å, 90.00 90.00 90.00°
Space group Fm-3m (No. 225)
Symmetry-distinct sites (fractional):
Ti: 0.250 0.250 0.250 [8 per cell]
Be: 0.000 0.000 0.000 [4 per cell]
Te: 0.000 0.000 0.500 [4 per cell]



- Look up the offset from the most stable computed form of the second one.
  0 meV per atom